Below is a PBEsol-optimized structure of CuReAu2, with properties calculated at the SCAN level.

Computed properties:
SG: Cm, No. 8
raw total energy: -55.773 eV/atom
DFT formation energy: 380 meV/atom

abc: 4.7824 4.7824 4.9321
angles: 98.77 98.77 32.69
Last column: nearest neighbours and their distance in Å.
Positions (direct):
Cu 0.0000 0.0000 0.0000  3 Re 2.69-2.87, 2 Cu 2.69, 7 Au 2.72-2.90
Re 0.2623 0.2623 0.7514  3 Cu 2.69-2.87, 2 Re 2.69, 7 Au 2.70-2.87
Au 0.5113 0.5113 0.5234  5 Au 2.69-2.92, 3 Re 2.70-2.75, 4 Cu 2.72-2.90
Au 0.7493 0.7493 0.2353  5 Au 2.69-2.92, 3 Cu 2.74-2.75, 4 Re 2.76-2.87



Below is a PBEsol-optimized structure of CuReAu3, with properties calculated at the SCAN level.

Computed properties:
SG: Pm-3m, No. 221
raw total energy: -57.261 eV/atom
DFT formation energy: 1492 meV/atom

abc: 4.9255 4.9255 4.9255
angles: 90.00 90.00 90.00
Last column: nearest neighbours and their distance in Å.
Positions (direct):
Cu 0.0000 0.0000 0.0000  12 Au 3.48
Re 0.5000 0.5000 0.5000  6 Au 2.46
Au 0.0000 0.5000 0.5000  2 Re 2.46
Au 0.5000 0.0000 0.5000  2 Re 2.46
Au 0.5000 0.5000 0.0000  2 Re 2.46



Below is a PBEsol-optimized structure of CuReAuS2, with properties calculated at the SCAN level.

Computed properties:
formation energy (no corrections): 1652 meV/atom
SG: P4/mmm, No. 123
raw total energy: -33.290 eV/atom

abc: 4.6960 4.6960 4.5988
angles: 90.00 90.00 90.00
Last column: nearest neighbours and their distance in Å.
Positions (direct):
Cu 0.0000 0.0000 0.0000  2 Au 2.30
Re 0.5000 0.5000 0.0000  8 S 3.29, 4 Cu 3.32
Au 0.0000 0.0000 0.5000  2 Cu 2.30, 4 S 2.35
S 0.0000 0.5000 0.5000  2 Au 2.35
S 0.5000 0.0000 0.5000  2 Au 2.35



Below is a PBEsol-optimized structure of CuRu2Au, with properties calculated at the SCAN level.

Computed properties:
SG: P2/m, No. 10
raw total energy: -38.024 eV/atom
DFT formation energy: 478 meV/atom

abc: 2.6752 4.6249 4.5619
angles: 90.00 92.82 90.00
Last column: nearest neighbours and their distance in Å.
Positions (direct):
Cu 0.0000 0.0000 0.0000  4 Au 2.59-2.70, 4 Ru 2.64, 2 Cu 2.68
Ru 0.2375 0.5000 0.7653  5 Ru 2.50-2.68, 2 Cu 2.64, 2 Au 2.72
Ru 0.7625 0.5000 0.2347  5 Ru 2.50-2.68, 2 Cu 2.64, 2 Au 2.72
Au 0.5000 0.0000 0.5000  4 Cu 2.59-2.70, 2 Au 2.68, 4 Ru 2.72



Below is a PBEsol-optimized structure of Cu2RuAu, with properties calculated at the SCAN level.

Computed properties:
SG: Cmmm, No. 65
raw total energy: -33.367 eV/atom
DFT formation energy: 228 meV/atom

abc: 4.6447 4.6447 2.5882
angles: 90.00 90.00 106.77
Last column: nearest neighbours and their distance in Å.
Positions (direct):
Cu 0.0000 0.5000 0.0000  4 Cu 2.59-2.77, 4 Ru 2.66, 4 Au 2.66
Cu 0.5000 0.0000 0.0000  4 Cu 2.59-2.77, 4 Ru 2.66, 4 Au 2.66
Ru 0.0000 0.0000 0.5000  2 Ru 2.59, 8 Cu 2.66, 2 Au 2.77
Au 0.5000 0.5000 0.5000  2 Au 2.59, 8 Cu 2.66, 2 Ru 2.77



Below is a PBEsol-optimized structure of CuRuAu3, with properties calculated at the SCAN level.

Computed properties:
SG: Pm-3m, No. 221
raw total energy: -50.176 eV/atom
DFT formation energy: 1323 meV/atom

abc: 4.9006 4.9006 4.9006
angles: 90.00 90.00 90.00
Last column: nearest neighbours and their distance in Å.
Positions (direct):
Cu 0.0000 0.0000 0.0000  12 Au 3.47
Ru 0.5000 0.5000 0.5000  6 Au 2.45
Au 0.0000 0.5000 0.5000  2 Ru 2.45
Au 0.5000 0.0000 0.5000  2 Ru 2.45
Au 0.5000 0.5000 0.0000  2 Ru 2.45



Below is a PBEsol-optimized structure of CuRu2Au, with properties calculated at the SCAN level.

Computed properties:
SG: C2/m, No. 12
raw total energy: -38.056 eV/atom
DFT formation energy: 446 meV/atom

abc: 5.3479 5.3479 2.6633
angles: 103.59 103.59 122.01
Last column: nearest neighbours and their distance in Å.
Positions (direct):
Cu 0.0000 0.0000 0.0000  4 Au 2.59-2.67, 2 Cu 2.66, 4 Ru 2.69
Ru 0.0000 0.5000 0.5000  6 Ru 2.59-2.67, 2 Cu 2.69, 2 Au 2.69
Ru 0.5000 0.0000 0.5000  6 Ru 2.59-2.67, 2 Cu 2.69, 2 Au 2.69
Au 0.5000 0.5000 0.0000  4 Cu 2.59-2.67, 2 Au 2.66, 4 Ru 2.69



Below is a PBEsol-optimized structure of Cu2RuAu, with properties calculated at the SCAN level.

Computed properties:
SG: C2/m, No. 12
raw total energy: -33.310 eV/atom
DFT formation energy: 286 meV/atom

abc: 5.1193 5.1193 2.5600
angles: 102.79 102.79 116.55
Last column: nearest neighbours and their distance in Å.
Positions (direct):
Cu 0.0000 0.5000 0.0000  6 Cu 2.56-2.83, 2 Ru 2.60, 2 Au 2.60
Cu 0.5000 0.0000 0.0000  6 Cu 2.56-2.83, 2 Ru 2.60, 2 Au 2.60
Ru 0.0000 0.0000 0.5000  2 Ru 2.56, 4 Cu 2.60, 4 Au 2.69-2.83
Au 0.5000 0.5000 0.5000  2 Au 2.56, 4 Cu 2.60, 4 Ru 2.69-2.83



Below is a PBEsol-optimized structure of TiCuAuS2, with properties calculated at the SCAN level.

Computed properties:
formation energy (no corrections): 235 meV/atom
SG: P4/mmm, No. 123
raw total energy: -23.694 eV/atom

abc: 4.4073 4.4073 4.6759
angles: 90.00 90.00 90.00
Last column: nearest neighbours and their distance in Å.
Positions (direct):
Ti 0.0000 0.0000 0.0000  4 Au 3.12, 8 S 3.21
Cu 0.5000 0.5000 0.5000  4 S 2.20, 2 Au 2.34
Au 0.5000 0.5000 0.0000  2 Cu 2.34
S 0.0000 0.5000 0.5000  2 Cu 2.20
S 0.5000 0.0000 0.5000  2 Cu 2.20



Below is a PBEsol-optimized structure of CuSbAu2, with properties calculated at the SCAN level.

Computed properties:
formation energy (no corrections): 105 meV/atom
SG: Imm2, No. 44
raw total energy: -47.588 eV/atom

abc: 5.0790 5.0790 5.0790
angles: 133.79 131.30 69.39
Last column: nearest neighbours and their distance in Å.
Positions (direct):
Cu 0.0000 0.0000 0.0000  8 Au 2.83-3.02, 4 Sb 2.88-2.96
Sb 0.2497 0.7497 0.5000  4 Cu 2.88-2.96, 8 Au 2.89-2.92
Au 0.5058 0.5058 0.0000  4 Cu 2.89, 4 Au 2.91-2.93, 4 Sb 2.92
Au 0.7600 0.2600 0.5000  4 Cu 2.83-3.02, 4 Sb 2.89, 4 Au 2.91-2.93



Below is a PBEsol-optimized structure of Cu2SbAu2, with properties calculated at the SCAN level.

Computed properties:
formation energy (no corrections): 18 meV/atom
SG: P4/mbm, No. 127
raw total energy: -41.177 eV/atom

abc: 7.4257 7.4257 2.9895
angles: 90.00 90.00 90.00
Last column: nearest neighbours and their distance in Å.
Positions (direct):
Cu 0.1586 0.3414 0.0000  6 Au 2.62-2.66
Cu 0.3414 0.8414 0.0000  6 Au 2.62-2.66
Cu 0.6586 0.1586 0.0000  6 Au 2.62-2.66
Cu 0.8414 0.6586 0.0000  6 Au 2.62-2.66
Sb 0.0000 0.0000 0.5000  4 Au 2.88, 2 Sb 2.99, 8 Cu 3.17
Sb 0.5000 0.5000 0.5000  4 Au 2.88, 2 Sb 2.99, 8 Cu 3.17
Au 0.1369 0.6369 0.5000  6 Cu 2.62-2.66, 1 Au 2.88, 2 Sb 2.88
Au 0.3631 0.1369 0.5000  6 Cu 2.62-2.66, 1 Au 2.88, 2 Sb 2.88
Au 0.6369 0.8631 0.5000  6 Cu 2.62-2.66, 1 Au 2.88, 2 Sb 2.88
Au 0.8631 0.3631 0.5000  6 Cu 2.62-2.66, 1 Au 2.88, 2 Sb 2.88



Below is a PBEsol-optimized structure of CuSb2Au, with properties calculated at the SCAN level.

Computed properties:
formation energy (no corrections): -38 meV/atom
SG: Amm2, No. 38
raw total energy: -39.757 eV/atom

abc: 4.5857 4.6986 4.6986
angles: 63.12 90.00 90.00
Last column: nearest neighbours and their distance in Å.
Positions (direct):
Cu 0.0000 0.0000 0.0000  2 Au 2.64, 5 Sb 2.70-2.85
Sb 0.0000 0.3561 0.3561  3 Cu 2.72-2.85, 2 Au 2.77
Sb 0.5000 0.8218 0.8218  2 Cu 2.70, 3 Au 2.73-2.77
Au 0.5000 0.1628 0.1628  2 Cu 2.64, 5 Sb 2.73-2.77



Below is a PBEsol-optimized structure of ScCu2Au, with properties calculated at the SCAN level.

Computed properties:
SG: Fm-3m, No. 225
raw total energy: -28.884 eV/atom
DFT formation energy: -436 meV/atom

abc: 4.3703 4.3703 4.3703
angles: 60.00 60.00 60.00
Last column: nearest neighbours and their distance in Å.
Positions (direct):
Sc 0.0000 0.0000 0.0000  8 Cu 2.68
Cu 0.2500 0.2500 0.2500  4 Sc 2.68, 4 Au 2.68
Cu 0.7500 0.7500 0.7500  4 Au 2.68, 4 Sc 2.68
Au 0.5000 0.5000 0.5000  8 Cu 2.68



Below is a PBEsol-optimized structure of ScCu2Au, with properties calculated at the SCAN level.

Computed properties:
SG: I-4m2, No. 119
raw total energy: -28.891 eV/atom
DFT formation energy: -443 meV/atom

abc: 4.7801 4.7801 4.7801
angles: 131.64 131.64 70.80
Last column: nearest neighbours and their distance in Å.
Positions (direct):
Sc 0.0000 0.0000 0.0000  4 Au 2.76, 8 Cu 2.76-2.77
Cu 0.2500 0.7500 0.5000  4 Cu 2.76, 4 Sc 2.76, 4 Au 2.77
Cu 0.5000 0.5000 0.0000  4 Au 2.76, 4 Cu 2.76, 4 Sc 2.77
Au 0.7500 0.2500 0.5000  8 Cu 2.76-2.77, 4 Sc 2.76



Below is a PBEsol-optimized structure of ScCu2Au, with properties calculated at the SCAN level.

Computed properties:
SG: I4/mmm, No. 139
raw total energy: -28.911 eV/atom
DFT formation energy: -462 meV/atom

abc: 4.6691 4.6691 4.6691
angles: 129.51 129.51 74.19
Last column: nearest neighbours and their distance in Å.
Positions (direct):
Sc 0.0000 0.0000 0.0000  8 Cu 2.73, 4 Au 2.82
Cu 0.2500 0.7500 0.5000  4 Sc 2.73, 4 Au 2.73, 4 Cu 2.82
Cu 0.7500 0.2500 0.5000  4 Sc 2.73, 4 Au 2.73, 4 Cu 2.82
Au 0.5000 0.5000 0.0000  8 Cu 2.73, 4 Sc 2.82